(1)
Entry from the Alexandria database: crystalline Sm2CuH12Rh3 at its relaxed geometry (GGA-PBE).

Structure (POSCAR):
```
Sm2CuH12Rh3
1.0
3.108 1.794 4.707
-3.108 1.794 4.707
0.000 -3.589 4.707
Sm Cu H Rh
2 1 12 3
direct
0.123 0.123 0.123
0.877 0.877 0.877
0.500 0.500 0.500
0.145 0.607 0.607
0.166 0.166 0.633
0.166 0.633 0.166
0.367 0.834 0.834
0.393 0.393 0.855
0.393 0.855 0.393
0.607 0.145 0.607
0.607 0.607 0.145
0.633 0.166 0.166
0.834 0.367 0.834
0.834 0.834 0.367
0.855 0.393 0.393
0.000 0.500 0.500
0.500 0.000 0.500
0.500 0.500 0.000
```

Calculated values
- Energy: -4.453 eV per atom
- N(E_F): 6.5 states/eV/f.u.
- SG: R-3m, No. 166

---

(2)
Entry from the Alexandria database: crystalline SmCuH8Rh2 at its relaxed geometry (GGA-PBE).

Structure (POSCAR):
```
SmCuH8Rh2
1.0
2.360 1.362 5.397
-2.360 1.362 5.397
0.000 -2.725 5.397
Sm Cu H Rh
1 1 8 2
direct
0.000 0.000 0.000
0.500 0.500 0.500
0.129 0.406 0.822
0.178 0.871 0.594
0.311 0.311 0.311
0.406 0.822 0.129
0.594 0.178 0.871
0.689 0.689 0.689
0.822 0.129 0.406
0.871 0.594 0.178
0.207 0.207 0.207
0.793 0.793 0.793
```

Calculated values
- Energy: -4.391 eV per atom
- N(E_F): 1.5 states/eV/f.u.
- SG: R-3, No. 148

---

(3)
Entry from the Alexandria database: crystalline SmCuH8Rh4 at its relaxed geometry (GGA-PBE).

Structure (POSCAR):
```
SmCuH8Rh4
1.0
2.867 1.655 4.468
-2.867 1.655 4.468
0.000 -3.311 4.468
Sm Cu H Rh
1 1 8 4
direct
0.000 0.000 0.000
0.607 0.607 0.607
0.329 0.329 0.868
0.329 0.868 0.329
0.378 0.378 0.378
0.472 0.831 0.831
0.831 0.472 0.831
0.831 0.831 0.472
0.835 0.835 0.835
0.868 0.329 0.329
0.117 0.613 0.613
0.246 0.246 0.246
0.613 0.117 0.613
0.613 0.613 0.117
```

Calculated values
- Energy: -4.837 eV per atom
- N(E_F): 4.0 states/eV/f.u.
- SG: R3m, No. 160

---

(4)
Entry from the Alexandria database: crystalline SmCu2H8Rh3 at its relaxed geometry (GGA-PBE).

Structure (POSCAR):
```
SmCu2H8Rh3
1.0
2.889 1.668 4.420
-2.889 1.668 4.420
0.000 -3.336 4.420
Sm Cu H Rh
1 2 8 3
direct
0.000 0.000 0.000
0.386 0.386 0.386
0.752 0.752 0.752
0.158 0.634 0.634
0.159 0.159 0.531
0.159 0.531 0.159
0.166 0.166 0.166
0.531 0.159 0.159
0.621 0.621 0.621
0.634 0.158 0.634
0.634 0.634 0.158
0.384 0.384 0.875
0.384 0.875 0.384
0.875 0.384 0.384
```

Calculated values
- Energy: -4.565 eV per atom
- N(E_F): 2.3 states/eV/f.u.
- SG: R3m, No. 160